CrAgO4: optimized geometry, PBEsol.

Cell lengths 5.0454, 5.0454, 7.0250 Å; angles 90.00, 90.00, 112.22 degrees
Fractional positions:
Cr 0.6517 0.3483 0.2500
Cr 0.3483 0.6517 0.7500
Ag 0.0000 0.0000 0.0000
Ag 0.0000 0.0000 0.5000
O 0.2942 0.2178 0.2500
O 0.2178 0.2942 0.7500
O 0.2396 0.7604 0.5547
O 0.7604 0.2396 0.0547
O 0.2396 0.7604 0.9453
O 0.7604 0.2396 0.4453
O 0.7058 0.7822 0.7500
O 0.7822 0.7058 0.2500

## Properties
M_tot	0.0	μB per formula unit
DFT total energy	-6.890	eV/atom
crystal system	orthorhombic
D(E_F)	0.473	states/eV per atom
ΔE to the lowest computed polymorph	0	meV/atom
formation energy without anion corrections	-1131	meV/atom